# 1
DFT (PBE-GGA) results for a relaxed structure of Ag4Pb.

Computed properties:
- V (Å³ per cell) = 219.6
- offset from the most stable computed form (meV per atom) = 70
- final energy (eV per cell) = -28.70
- energy of formation (meV per atom) = 153

a b c (Å): 3.9811 3.9811 13.8573
angles (deg): 90.00 90.00 90.00
Last column: nearest neighbours and their distance in Å.
Space group I4/mmm (No. 139)
Asymmetric unit:
Ag (0.0000, 0.0000, 0.1019)  5 Ag 2.82-2.86, 4 Pb 3.15
Ag (0.0000, 0.5000, 0.2500)  8 Ag 2.82-2.86
Pb (0.0000, 0.0000, 0.5000)  8 Ag 3.15


# 2
DFT (PBE-GGA) results for a relaxed structure of AgPb5.

Computed properties:
- V (Å³ per cell) = 351.4
- offset from the most stable computed form (meV per atom) = 19
- final energy (eV per cell) = -42.19
- energy of formation (meV per atom) = 49

a b c (Å): 13.3415 3.4789 7.8770
angles (deg): 90.00 106.01 90.00
Last column: nearest neighbours and their distance in Å.
Space group Cm (No. 8)
Asymmetric unit:
Ag (0.0000, 0.0000, 0.0000)  8 Pb 3.10-3.25
Pb (0.1476, 0.5000, 0.8500)  2 Ag 3.10, 2 Pb 3.41
Pb (0.1618, 0.5000, 0.3026)  2 Ag 3.24, 7 Pb 3.45-3.55
Pb (0.3384, 0.0000, 0.6955)  2 Ag 3.25, 7 Pb 3.45-3.56
Pb (0.3499, 0.0000, 0.1443)  2 Ag 3.10, 2 Pb 3.41
Pb (0.4991, 0.5000, 0.4965)  10 Pb 3.41-3.48


# 3
DFT (PBE-GGA) results for a relaxed structure of AgPb4.

Computed properties:
- V (Å³ per cell) = 295.9
- offset from the most stable computed form (meV per atom) = 0
- final energy (eV per cell) = -34.90
- energy of formation (meV per atom) = 47

a b c (Å): 6.9300 6.9300 6.1616
angles (deg): 90.00 90.00 90.00
Last column: nearest neighbours and their distance in Å.
Space group P4/nbm (No. 125, origin choice 2)
Asymmetric unit:
Ag (0.2500, 0.2500, 0.0000)  8 Pb 3.03
Pb (0.0782, 0.5782, 0.2608)  2 Ag 3.03, 2 Pb 3.32-3.37